First-principles (PBE-GGA) data for an optimized crystal structure of Cd3NiPt, as listed in the Alexandria database.

Properties
D(E_F) = 0.526 states/eV per atom
Formation energy = 50 kJ/mol of atoms
Crystal system = cubic
Total magnetization = 0.0 μB/f.u.
Energy = -12.0 eV/f.u.

Cell: 4.7946 4.7946 4.7946 Å, 90.00 90.00 90.00°
Last column: nearest neighbours and their distance in Å.
Space group Pm-3m (No. 221)
Asymmetric unit:
Cd (0.0000, 0.0000, 0.5000) [3 per cell]  2 Ni 2.40
Ni (0.0000, 0.0000, 0.0000) [1 per cell]  6 Cd 2.40
Pt (0.5000, 0.5000, 0.5000) [1 per cell]  12 Cd 3.39